# 1
This record from the Alexandria database describes an optimized crystal structure of YPu2Sb3. The functional is GGA-PBE.

Unit cell a=7.6453 b=7.6453 c=7.6453 alpha=146.47 beta=131.85 gamma=59.95
Fractional positions:
Y 0.0000 0.0000 0.0000
Pu 0.3337 0.3337 0.0000
Pu 0.6663 0.6663 0.0000
Sb 0.1672 0.6672 0.5000
Sb 0.5000 0.0000 0.5000
Sb 0.8328 0.3328 0.5000

The uncorrected formation energy comes out at -0.783 eV per atom. The value obtained for the density of states at the Fermi level is 25.81 states/eV per cell. For the calculated density, the calculation gives 8.59 Mg/m³. For the volume, the calculation gives 30.36 Å³ per atom. Its total energy is -8.698 eV per atom.

# 2
This record from the Alexandria database describes an optimized crystal structure of Ta2MnCl. The functional is GGA-PBE.

Unit cell a=4.4793 b=4.4793 c=4.4793 alpha=60.00 beta=60.00 gamma=60.00
Fractional positions:
Ta 0.2500 0.2500 0.2500
Ta 0.7500 0.7500 0.7500
Mn 0.0000 0.0000 0.0000
Cl 0.5000 0.5000 0.5000

The uncorrected formation energy comes out at 0.609 eV per atom. The value obtained for the density of states at the Fermi level is 4.74 states/eV per cell. For the calculated density, the calculation gives 11.82 Mg/m³. For the volume, the calculation gives 15.89 Å³ per atom. The energy above the most stable polymorph in this dataset comes out at 2.63 eV per formula unit. Its total energy is -8.071 eV per atom.

# 3
This record from the Alexandria database describes an optimized crystal structure of Cu3Pt2. The functional is GGA-PBE.

Unit cell a=9.0837 b=9.0837 c=9.0837 alpha=162.54 beta=162.54 gamma=24.79
Fractional positions:
Cu 0.0000 0.0000 0.0000
Cu 0.4099 0.4099 0.0000
Cu 0.5901 0.5901 0.0000
Pt 0.1916 0.1916 0.0000
Pt 0.8084 0.8084 0.0000

The value obtained for the density of states at the Fermi level is 3.52 states/eV per cell. For the calculated density, the calculation gives 14.30 Mg/m³. For the volume, the calculation gives 13.49 Å³ per atom. The energy above the most stable polymorph in this dataset comes out at 0.37 eV per formula unit. Its total energy is -4.961 eV per atom. As for the formation energy: -8.4 kJ/mol of atoms.

# 4
This record from the Alexandria database describes an optimized crystal structure of MgVTc2P. The functional is GGA-PBE.

Unit cell a=4.5542 b=4.5542 c=4.2791 alpha=90.00 beta=90.00 gamma=90.00
Fractional positions:
Mg 0.0000 0.0000 0.0000
V 0.5000 0.5000 0.5000
Tc 0.0000 0.5000 0.0000
Tc 0.5000 0.0000 0.0000
P 0.0000 0.0000 0.5000

The value obtained for the density of states at the Fermi level is 8.32 states/eV per cell. For the calculated density, the calculation gives 5.65 Mg/m³. For the volume, the calculation gives 17.75 Å³ per atom. Its total energy is -5.472 eV per atom. As for the formation energy: 183.2 kJ/mol of atoms.